Entry 1:
A relaxed CaLa2Tl crystal, computed with PBE-GGA.

Output
The volume comes out at 32.80 Å³ per atom. The magnetic moment comes out at 0.000 μB per atom. For the density of states at the Fermi level, the calculation gives 1.112 states/eV per atom. The calculation puts the formation energy from the elements at -0.17 eV per formula unit.

a = 5.7170 Å, b = 5.7170 Å, c = 5.7170 Å
α = 59.68°, β = 59.68°, γ = 59.68°
Last column: nearest neighbours and their distance in Å.
Positions (direct):
Ca 0.0000 0.0000 0.0000  3 La 3.37, 4 Tl 3.44-3.67
La 0.5144 0.5144 0.5144  1 La 2.90
La 0.7211 0.7211 0.7211  1 La 2.90
Tl 0.2617 0.2617 0.2617  4 Ca 3.44-3.67, 7 La 3.47-3.73

=====

Entry 2:
A relaxed RbNp2CuSe5 crystal, computed with PBE-GGA.

Output
The volume comes out at 25.33 Å³ per atom. The magnetic moment comes out at 0.666 μB per atom. For the density of states at the Fermi level, the calculation gives 2.020 states/eV per atom. The value obtained for the formation energy without anion corrections is -967 meV per atom.

a = 9.1690 Å, b = 9.1690 Å, c = 9.1690 Å
α = 128.78°, β = 128.78°, γ = 75.37°
Last column: nearest neighbours and their distance in Å.
Positions (direct):
Rb 0.2500 0.2500 0.0000  10 Se 3.54-3.63, 4 Cu 3.96
Rb 0.7500 0.7500 0.0000  10 Se 3.54-3.63, 4 Cu 3.96
Np 0.1604 0.6604 0.8207  8 Se 2.84-3.02
Np 0.3396 0.1604 0.5000  8 Se 2.84-3.02
Np 0.6604 0.8396 0.5000  8 Se 2.84-3.02
Np 0.8396 0.3396 0.1793  8 Se 2.84-3.02
Cu 0.2500 0.7500 0.5000  4 Se 2.44
Cu 0.7500 0.2500 0.5000  4 Se 2.44
Se 0.0000 0.0000 0.0000  4 Np 2.98
Se 0.0199 0.2306 0.5000  1 Cu 2.44
Se 0.2306 0.7306 0.2107  1 Cu 2.44
Se 0.2694 0.4801 0.5000  1 Cu 2.44
Se 0.4801 0.9801 0.2107  1 Cu 2.44
Se 0.5000 0.5000 0.0000  4 Np 2.98
Se 0.5199 0.0199 0.7893  1 Cu 2.44
Se 0.7306 0.5199 0.5000  1 Cu 2.44
Se 0.7694 0.2694 0.7893  1 Cu 2.44
Se 0.9801 0.7694 0.5000  1 Cu 2.44